{"formula": "K4Pd4Pt", "functional": "GGA-PBE", "state": "relaxed", "cell": [[6.451, 0.000, 0.000], [0.000, 8.798, 0.000], [0.000, 0.000, 8.798]], "species": ["K", "K", "K", "K", "K", "K", "K", "K", "Pd", "Pd", "Pd", "Pd", "Pd", "Pd", "Pd", "Pd", "Pt", "Pt"], "fractional_positions": [[0.378, 0.403, 0.821], [0.878, 0.679, 0.903], [0.378, 0.597, 0.179], [0.122, 0.097, 0.679], [0.622, 0.821, 0.597], [0.122, 0.903, 0.321], [0.878, 0.321, 0.097], [0.622, 0.179, 0.403], [0.651, 0.914, 0.132], [0.651, 0.086, 0.868], [0.151, 0.632, 0.586], [0.849, 0.414, 0.632], [0.849, 0.586, 0.368], [0.349, 0.132, 0.086], [0.349, 0.868, 0.914], [0.151, 0.368, 0.414], [0.000, 0.000, 0.000], [0.500, 0.500, 0.500]], "e_form_ev_per_fu": 1.25, "crystal_system": "tetragonal", "n_ef_per_ev_cell": 17.0, "e_tot_ev_per_fu": -30.0}



{"formula": "Ce2AlTc", "functional": "GGA-PBE", "state": "relaxed", "cell": [[6.370, 0.000, 0.000], [0.000, 5.196, -1.194], [0.000, 0.194, 5.328]], "species": ["Ce", "Ce", "Ce", "Ce", "Al", "Al", "Tc", "Tc"], "fractional_positions": [[0.750, 0.958, 0.326], [0.250, 0.042, 0.674], [0.250, 0.674, 0.042], [0.750, 0.326, 0.958], [0.500, 0.500, 0.500], [0.000, 0.500, 0.500], [0.250, 0.196, 0.196], [0.750, 0.804, 0.804]], "e_form_ev_per_fu": -1.10, "crystal_system": "orthorhombic", "n_ef_per_ev_cell": 9.5, "e_tot_ev_per_fu": -27.1}